# FeHO2

An optimized crystal structure of FeHO2 (PBE with a Hubbard U, the Alexandria database).

Cell: 3.037 6.889 7.737 Å, 77.64 100.95 102.59°
Last column: magnetic moment on the atom in μB.
Fractional positions:
O (0.789, 0.013, 0.651)  0.02
O (0.164, 0.035, 0.364)  0.08
O (0.093, 0.671, 0.583)  0.27
O (0.876, 0.712, 0.914)  0.12
O (0.432, 0.687, 0.248)  0.02
O (0.863, 0.352, 0.455)  -0.01
O (0.494, 0.332, 0.767)  0.23
O (0.210, 0.380, 0.096)  -0.03
Fe (0.336, 0.191, 0.568)  1.18
Fe (0.820, 0.524, 0.186)  3.16
Fe (0.090, 0.483, 0.832)  4.33
Fe (0.604, 0.823, 0.453)  4.35
H (0.809, 0.911, 0.767)  0.00
H (0.960, 0.486, 0.507)  0.00
H (0.159, 0.135, 0.249)  0.01
H (0.154, 0.780, 0.982)  0.01

total moment = 3.50 μB per formula unit
volume = 152.6 Å³ per cell
final energy = -93.51 eV for the cell shown
symmetry = P1, No. 1

# FeHO2

An optimized crystal structure of FeHO2 (PBE with a Hubbard U, the Alexandria database).

Cell: 12.430 2.884 4.473 Å, 89.98 90.00 90.00°
Last column: magnetic moment on the atom in μB.
Fractional positions:
O (0.908, 0.749, 0.888)  -0.12
O (0.203, 0.751, 0.115)  -0.02
O (0.703, 0.249, 0.885)  -0.02
O (0.408, 0.251, 0.112)  -0.12
O (0.069, 0.750, 0.512)  -0.02
O (0.305, 0.251, 0.608)  -0.02
O (0.569, 0.250, 0.488)  -0.02
O (0.805, 0.749, 0.392)  -0.02
H (0.520, 0.250, 0.309)  0.00
H (0.020, 0.750, 0.691)  0.00
H (0.854, 0.749, 0.588)  0.01
H (0.354, 0.251, 0.412)  0.01
Fe (0.342, 0.751, 0.896)  3.02
Fe (0.842, 0.249, 0.104)  3.02
Fe (0.154, 0.250, 0.359)  3.04
Fe (0.654, 0.750, 0.641)  3.04

total moment = 3.00 μB per formula unit
volume = 160.3 Å³ per cell
final energy = -92.01 eV for the cell shown
symmetry = P2_1, No. 4

# FeHO2

An optimized crystal structure of FeHO2 (PBE with a Hubbard U, the Alexandria database).

Cell: 4.109 4.109 5.211 Å, 66.78 66.78 90.00°
Last column: magnetic moment on the atom in μB.
Fractional positions:
Fe (0.750, 0.250, 0.500)  4.27
Fe (0.000, 0.000, 0.000)  4.27
H (0.250, 0.750, 0.500)  0.01
H (0.500, 0.500, 0.000)  0.01
O (0.875, 0.835, 0.750)  0.27
O (0.375, 0.415, 0.750)  0.27
O (0.585, 0.125, 0.250)  0.27
O (0.165, 0.625, 0.250)  0.27

total moment = 5.00 μB per formula unit
volume = 73.1 Å³ per cell
final energy = -42.83 eV for the cell shown
symmetry = I-42d, No. 122

# Fe8H10O17

An optimized crystal structure of Fe8H10O17 (PBE with a Hubbard U, the Alexandria database).

Cell: 6.016 10.624 9.938 Å, 94.56 90.16 89.82°
Last column: magnetic moment on the atom in μB.
Fractional positions:
O (0.227, 0.926, 0.447)  0.03
O (0.540, 0.048, 0.979)  0.02
O (0.238, 0.849, 0.897)  0.20
O (0.973, 0.088, 0.297)  0.09
O (0.233, 0.177, 0.531)  0.15
O (0.987, 0.674, 0.072)  0.10
O (0.547, 0.728, 0.631)  0.15
O (0.972, 0.393, 0.694)  0.07
O (0.240, 0.210, 0.794)  0.09
O (0.726, 0.178, 0.531)  0.05
O (0.736, 0.842, 0.862)  0.28
O (0.732, 0.508, 0.209)  -0.10
O (0.972, 0.407, 0.959)  0.18
O (0.739, 0.269, 0.153)  -0.01
O (0.237, 0.507, 0.211)  -0.09
O (0.066, 0.702, 0.592)  0.02
O (0.482, 0.401, 0.701)  0.06
O (0.247, 0.866, 0.177)  0.09
O (0.485, 0.715, 0.321)  0.04
O (0.742, 0.867, 0.197)  0.03
O (0.225, 0.274, 0.146)  0.00
O (0.993, 0.003, 0.700)  0.14
O (0.059, 0.091, 0.994)  0.00
O (0.486, 0.424, 0.973)  0.06
O (0.725, 0.930, 0.475)  0.16
O (0.223, 0.602, 0.810)  0.27
O (0.486, 0.666, 0.057)  0.02
O (0.974, 0.329, 0.367)  0.10
O (0.490, 0.092, 0.286)  0.22
O (0.485, 0.333, 0.352)  0.05
O (0.458, 0.006, 0.709)  0.23
O (0.992, 0.717, 0.323)  -0.05
O (0.725, 0.225, 0.796)  0.01
O (0.738, 0.596, 0.825)  0.16
Fe (0.479, 0.719, 0.855)  4.33
Fe (0.236, 0.680, 0.189)  1.12
Fe (0.741, 0.684, 0.190)  1.11
Fe (0.731, 0.205, 0.339)  -1.03
Fe (0.983, 0.403, 0.159)  3.05
Fe (0.230, 0.416, 0.850)  4.33
Fe (0.249, 0.027, 0.852)  -0.97
Fe (0.227, 0.198, 0.335)  4.35
Fe (0.494, 0.914, 0.316)  4.35
Fe (0.981, 0.909, 0.318)  3.11
Fe (0.985, 0.195, 0.660)  4.36
Fe (0.981, 0.717, 0.890)  4.31
Fe (0.698, 0.894, 0.677)  4.32
Fe (0.477, 0.193, 0.658)  3.14
Fe (0.485, 0.395, 0.161)  1.16
Fe (0.731, 0.418, 0.839)  1.22
H (0.252, 0.872, 0.076)  0.01
H (0.491, 0.686, 0.412)  0.00
H (0.140, 0.654, 0.665)  0.00
H (0.030, 0.030, 0.061)  0.00
H (0.178, 0.203, 0.073)  0.00
H (0.730, 0.026, 0.493)  0.00
H (0.631, 0.969, 0.951)  0.00
H (0.496, 0.399, 0.426)  0.00
H (0.704, 0.171, 0.871)  0.01
H (0.765, 0.204, 0.079)  0.00
H (0.966, 0.378, 0.453)  0.00
H (0.239, 0.016, 0.486)  0.00
H (0.493, 0.572, 0.026)  0.00
H (0.978, 0.469, 0.645)  0.01
H (0.003, 0.684, 0.413)  0.00
H (0.469, 0.480, 0.658)  0.01
H (0.090, 0.962, 0.629)  0.00
H (0.663, 0.665, 0.646)  0.00
H (0.183, 0.762, 0.569)  0.00
H (0.517, 0.051, 0.077)  0.00

total moment = 23.00 μB per formula unit
volume = 633.1 Å³ per cell
symmetry = P1, No. 1
polymorph energy (0 for the lowest one) = 0.037 eV/atom

# FeHO2

An optimized crystal structure of FeHO2 (PBE with a Hubbard U, the Alexandria database).

Cell: 2.888 4.758 12.060 Å, 90.00 90.00 90.00°
Last column: magnetic moment on the atom in μB.
Fractional positions:
O (0.250, 0.155, 0.075)  -0.05
O (0.750, 0.345, 0.575)  -0.05
O (0.750, 0.845, 0.925)  -0.05
O (0.750, 0.344, 0.850)  -0.06
O (0.250, 0.656, 0.150)  -0.06
O (0.750, 0.844, 0.650)  -0.06
O (0.250, 0.156, 0.350)  -0.06
O (0.250, 0.655, 0.425)  -0.05
H (0.250, 0.950, 0.378)  0.00
H (0.250, 0.450, 0.122)  0.00
H (0.750, 0.050, 0.622)  0.00
H (0.750, 0.550, 0.878)  0.00
Fe (0.250, 0.106, 0.899)  3.05
Fe (0.750, 0.894, 0.101)  3.05
Fe (0.250, 0.606, 0.601)  3.05
Fe (0.750, 0.394, 0.399)  3.05

total moment = 3.00 μB per formula unit
volume = 165.7 Å³ per cell
final energy = -92.36 eV for the cell shown
symmetry = Pnma, No. 62

# FeHO2

An optimized crystal structure of FeHO2 (PBE with a Hubbard U, the Alexandria database).

Cell: 3.976 6.437 6.437 Å, 152.20 90.00 90.00°
Last column: magnetic moment on the atom in μB.
Fractional positions:
O (0.750, 0.710, 0.290)  0.34
O (0.250, 0.290, 0.710)  0.34
O (0.247, 0.071, 0.929)  0.16
O (0.747, 0.929, 0.071)  0.16
H (0.439, 0.018, 0.982)  0.01
H (0.939, 0.982, 0.018)  0.01
Fe (0.750, 0.322, 0.678)  4.38
Fe (0.250, 0.678, 0.322)  4.38

total moment = 5.00 μB per formula unit
volume = 76.8 Å³ per cell
final energy = -48.39 eV for the cell shown
symmetry = Cmc2_1, No. 36

# Fe8H10O17

An optimized crystal structure of Fe8H10O17 (PBE with a Hubbard U, the Alexandria database).

Cell: 5.996 10.147 10.579 Å, 96.33 89.84 90.67°
Last column: magnetic moment on the atom in μB.
Fractional positions:
H (0.517, 0.027, 0.066)  0.00
H (0.739, 0.537, 0.895)  0.00
H (0.640, 0.612, 0.615)  0.00
H (0.732, 0.093, 0.188)  0.00
H (0.955, 0.392, 0.449)  -0.01
H (0.730, 0.522, 0.079)  0.00
H (0.500, 0.425, 0.442)  0.00
H (0.725, 0.119, 0.947)  0.00
H (0.978, 0.992, 0.533)  0.00
H (0.208, 0.965, 0.988)  0.00
H (0.217, 0.106, 0.194)  0.00
H (0.037, 0.412, 0.706)  -0.01
H (0.509, 0.389, 0.675)  0.00
H (0.393, 0.558, 0.648)  0.00
H (0.481, 0.641, 0.462)  0.00
H (0.478, 0.018, 0.568)  0.00
H (0.230, 0.505, 0.042)  0.00
H (0.228, 0.914, 0.129)  0.00
H (0.145, 0.651, 0.665)  0.00
H (0.941, 0.604, 0.407)  0.01
O (0.477, 0.321, 0.111)  -0.13
O (0.984, 0.318, 0.113)  -0.35
O (0.533, 0.538, 0.592)  0.00
O (0.237, 0.201, 0.879)  0.01
O (0.490, 0.973, 0.433)  0.00
O (0.740, 0.208, 0.508)  -0.16
O (0.737, 0.156, 0.274)  -0.10
O (0.727, 0.552, 0.175)  -0.09
O (0.684, 0.023, 0.059)  0.07
O (0.228, 0.165, 0.277)  -0.08
O (0.723, 0.808, 0.224)  -0.07
O (0.172, 0.584, 0.724)  0.08
O (0.224, 0.810, 0.235)  -0.17
O (0.491, 0.314, 0.725)  0.01
O (0.718, 0.815, 0.595)  -0.01
O (0.233, 0.197, 0.513)  -0.06
O (0.975, 0.717, 0.019)  0.22
O (0.231, 0.475, 0.945)  0.04
O (0.986, 0.057, 0.677)  -0.04
O (0.223, 0.851, 0.831)  0.02
O (0.971, 0.413, 0.361)  -0.10
O (0.997, 0.322, 0.727)  -0.09
O (0.224, 0.558, 0.184)  -0.15
O (0.475, 0.703, 0.397)  0.02
O (0.476, 0.050, 0.668)  -0.01
O (0.956, 0.697, 0.387)  0.02
O (0.477, 0.714, 0.007)  0.27
O (0.737, 0.456, 0.937)  0.00
O (0.482, 0.365, 0.363)  -0.12
O (0.720, 0.851, 0.825)  0.06
O (0.238, 0.993, 0.079)  0.00
O (0.224, 0.814, 0.599)  -0.10
O (0.732, 0.194, 0.890)  -0.05
O (0.975, 0.960, 0.437)  0.04
Fe (0.469, 0.861, 0.714)  -1.07
Fe (0.234, 0.835, 0.420)  3.10
Fe (0.996, 0.322, 0.928)  -4.35
Fe (0.718, 0.836, 0.416)  -1.05
Fe (0.476, 0.325, 0.929)  4.30
Fe (0.971, 0.869, 0.712)  3.08
Fe (0.230, 0.371, 0.228)  -4.34
Fe (0.217, 0.675, 0.903)  4.33
Fe (0.725, 0.834, 0.007)  4.32
Fe (0.731, 0.354, 0.224)  -4.34
Fe (0.470, 0.682, 0.195)  3.04
Fe (0.976, 0.687, 0.200)  1.12
Fe (0.233, 0.186, 0.693)  -1.12
Fe (0.984, 0.155, 0.399)  3.02
Fe (0.484, 0.165, 0.399)  1.14
Fe (0.743, 0.178, 0.688)  -4.32

total moment = 2.94 μB per formula unit
volume = 639.7 Å³ per cell
symmetry = P1, No. 1
polymorph energy (0 for the lowest one) = 0.021 eV/atom

# Fe5HO8

An optimized crystal structure of Fe5HO8 (PBE with a Hubbard U, the Alexandria database).

Cell: 5.918 5.918 9.151 Å, 90.00 90.00 119.54°
Last column: magnetic moment on the atom in μB.
Fractional positions:
O (0.962, 0.485, 0.495)  0.08
O (0.844, 0.156, 0.761)  0.00
O (0.332, 0.160, 0.766)  0.04
O (0.156, 0.844, 0.261)  0.00
O (0.986, 0.014, 0.493)  0.07
O (0.840, 0.668, 0.766)  0.04
O (0.485, 0.962, 0.995)  0.08
O (0.672, 0.328, 0.246)  0.20
O (0.514, 0.486, 0.498)  0.07
O (0.160, 0.332, 0.266)  0.04
O (0.668, 0.840, 0.266)  0.04
O (0.038, 0.515, 0.995)  0.08
O (0.486, 0.514, 0.998)  0.07
O (0.328, 0.672, 0.746)  0.20
O (0.014, 0.986, 0.993)  0.07
O (0.515, 0.038, 0.495)  0.08
H (0.033, 0.967, 0.099)  0.01
H (0.967, 0.033, 0.599)  0.01
Fe (0.331, 0.669, 0.164)  4.31
Fe (0.828, 0.669, 0.371)  3.15
Fe (0.671, 0.329, 0.039)  4.31
Fe (0.170, 0.830, 0.868)  1.21
Fe (0.669, 0.331, 0.664)  4.31
Fe (0.329, 0.671, 0.539)  4.31
Fe (0.830, 0.170, 0.368)  1.21
Fe (0.172, 0.331, 0.871)  3.15
Fe (0.331, 0.172, 0.371)  3.15
Fe (0.669, 0.828, 0.871)  3.15

total moment = 16.98 μB per formula unit
volume = 278.8 Å³ per cell
final energy = -175.34 eV for the cell shown
symmetry = Cmc2_1, No. 36

# Fe8H10O17

An optimized crystal structure of Fe8H10O17 (PBE with a Hubbard U, the Alexandria database).

Cell: 5.938 10.745 9.463 Å, 95.78 89.07 90.72°
Last column: magnetic moment on the atom in μB.
Fractional positions:
Fe (0.251, 0.976, 0.136)  1.17
Fe (0.004, 0.278, 0.153)  1.11
Fe (0.752, 0.585, 0.183)  -1.10
Fe (0.245, 0.782, 0.663)  1.12
Fe (0.516, 0.803, 0.306)  -4.32
Fe (0.497, 0.595, 0.825)  1.11
Fe (0.490, 0.076, 0.693)  1.11
Fe (0.748, 0.305, 0.827)  3.12
Fe (0.003, 0.803, 0.308)  -1.08
Fe (0.249, 0.312, 0.826)  3.08
Fe (0.747, 0.782, 0.664)  1.12
Fe (0.262, 0.566, 0.187)  1.10
Fe (0.981, 0.074, 0.696)  1.11
Fe (0.765, 0.087, 0.289)  4.25
Fe (0.993, 0.597, 0.845)  3.13
Fe (0.493, 0.276, 0.156)  1.15
O (0.743, 0.713, 0.843)  -0.14
O (0.252, 0.391, 0.208)  -0.05
O (0.975, 0.242, 0.359)  0.04
O (0.494, 0.897, 0.714)  -0.06
O (0.748, 0.166, 0.119)  0.14
O (0.019, 0.975, 0.280)  0.06
O (0.234, 0.123, 0.829)  -0.07
O (0.236, 0.049, 0.562)  -0.03
O (0.494, 0.661, 0.621)  -0.06
O (0.481, 0.260, 0.672)  0.00
O (0.010, 0.553, 0.056)  0.03
O (0.496, 0.980, 0.274)  -0.03
O (0.506, 0.556, 0.040)  -0.03
O (0.741, 0.066, 0.546)  -0.03
O (0.006, 0.331, 0.964)  -0.05
O (0.731, 0.117, 0.817)  -0.12
O (0.745, 0.402, 0.211)  -0.02
O (0.007, 0.926, 0.999)  0.00
O (0.250, 0.825, 0.453)  -0.06
O (0.993, 0.896, 0.719)  -0.06
O (0.495, 0.222, 0.356)  0.04
O (0.505, 0.328, 0.963)  -0.05
O (0.497, 0.955, 0.992)  -0.01
O (0.242, 0.482, 0.788)  -0.16
O (0.007, 0.621, 0.320)  0.02
O (0.750, 0.480, 0.786)  -0.13
O (0.760, 0.832, 0.459)  -0.06
O (0.996, 0.662, 0.594)  -0.01
O (0.244, 0.154, 0.105)  -0.12
O (0.246, 0.714, 0.848)  -0.12
O (0.986, 0.260, 0.675)  0.00
O (0.253, 0.775, 0.160)  -0.06
O (0.773, 0.763, 0.176)  -0.07
O (0.503, 0.615, 0.313)  -0.09
H (0.754, 0.399, 0.314)  0.00
H (0.011, 0.911, 0.891)  0.00
H (0.002, 0.619, 0.426)  0.00
H (0.976, 0.291, 0.582)  0.00
H (0.407, 0.143, 0.338)  0.00
H (0.229, 0.106, 0.489)  0.00
H (0.510, 0.459, 0.008)  0.00
H (0.138, 0.245, 0.375)  0.00
H (0.743, 0.155, 0.529)  0.00
H (0.240, 0.756, 0.055)  0.00
H (0.896, 0.867, 0.035)  0.00
H (0.604, 0.027, 0.996)  0.00
H (0.760, 0.925, 0.482)  0.00
H (0.245, 0.920, 0.483)  0.00
H (0.494, 0.621, 0.522)  0.00
H (0.233, 0.121, 0.938)  0.01
H (0.990, 0.575, 0.618)  0.00
H (0.007, 0.455, 0.015)  0.00
H (0.481, 0.922, 0.888)  0.00
H (0.470, 0.284, 0.575)  0.00

total moment = 7.97 μB per formula unit
volume = 600.5 Å³ per cell
symmetry = P1, No. 1
polymorph energy (0 for the lowest one) = 0.164 eV/atom

# FeHO2

An optimized crystal structure of FeHO2 (PBE with a Hubbard U, the Alexandria database).

Cell: 3.060 4.485 5.043 Å, 90.00 90.00 90.00°
Last column: magnetic moment on the atom in μB.
Fractional positions:
O (0.000, 0.510, 0.662)  0.31
O (0.500, 0.490, 0.162)  0.31
O (0.000, 0.994, 0.368)  0.18
O (0.500, 0.006, 0.868)  0.18
Fe (0.500, 0.277, 0.510)  4.39
Fe (0.000, 0.723, 0.010)  4.39
H (0.000, 0.814, 0.492)  0.00
H (0.500, 0.186, 0.992)  0.00

total moment = 5.00 μB per formula unit
volume = 69.2 Å³ per cell
final energy = -48.23 eV for the cell shown
symmetry = Pmn2_1, No. 31